Here is a relaxed structure of CrTe2O from Alexandria. Energies are from PBE+U.

The structure belongs to space group R-3m (No. 166, hexagonal axes); the cell edges are 3.1983, 3.1983 and 27.4214 Å and the angles 90.00°, 90.00° and 120.00°. The inequivalent atoms are Cr at (0.0000, 0.0000, 0.0000), Te at (0.0000, 0.0000, 0.1012) and O at (0.0000, 0.0000, 0.5000).

The volume is 20.24 A^3/atom. The value obtained for the magnetic moment is 1.78 μB per formula unit. The value obtained for the density of states at the Fermi level is 1.224 states/eV per atom. For the density, the calculation gives 6.6 Mg/m³. For the raw total energy, the calculation gives -43.72 eV per cell.